(1)
The following is a PBE calculation of a relaxed MnZn4S5 crystal, from the Alexandria database.

Unit cell a=3.869 b=3.869 c=31.763 alpha=90.00 beta=90.00 gamma=120.00
Atoms (fractional coordinates):
Mn  0.000  0.000  0.000
Mn  0.000  0.000  0.203
Zn  0.000  0.000  0.404
Zn  0.000  0.000  0.602
Zn  0.000  0.000  0.800
Zn  0.667  0.333  0.102
Zn  0.667  0.333  0.306
Zn  0.667  0.333  0.503
Zn  0.667  0.333  0.701
Zn  0.667  0.333  0.899
S  0.000  0.000  0.127
S  0.000  0.000  0.330
S  0.000  0.000  0.528
S  0.000  0.000  0.726
S  0.000  0.000  0.924
S  0.667  0.333  0.028
S  0.667  0.333  0.231
S  0.667  0.333  0.429
S  0.667  0.333  0.627
S  0.667  0.333  0.825

Values from the calculation:
Total energy in eV/atom: -4.23
Uncorrected formation energy in eV per atom: -0.744

(2)
The following is a PBE calculation of a relaxed MgTaCr crystal, from the Alexandria database.

Unit cell a=4.439 b=4.439 c=4.439 alpha=60.00 beta=60.00 gamma=60.00
Atoms (fractional coordinates):
Mg  0.000  0.000  0.000
Ta  0.250  0.250  0.250
Cr  0.500  0.500  0.500

Values from the calculation:
Total energy in eV/atom: -6.36
E above lowest polymorph in meV per atom: 983
DFT formation energy in meV/atom: 1327

(3)
The following is a PBE calculation of a relaxed TbYPt crystal, from the Alexandria database.

Unit cell a=4.126 b=4.126 c=6.168 alpha=90.00 beta=90.00 gamma=120.00
Atoms (fractional coordinates):
Tb  0.000  0.000  0.000
Y  0.667  0.333  0.516
Pt  0.333  0.667  0.758

Values from the calculation:
Total energy in eV/atom: -6.46
E above lowest polymorph in meV per atom: 190
DFT formation energy in meV/atom: -749

(4)
The following is a PBE calculation of a relaxed ZnTcCl2 crystal, from the Alexandria database.

Unit cell a=3.031 b=3.031 c=8.189 alpha=90.00 beta=90.00 gamma=90.00
Atoms (fractional coordinates):
Zn  0.000  0.000  0.000
Tc  0.500  0.500  0.770
Cl  0.000  0.000  0.603
Cl  0.500  0.500  0.185

Values from the calculation:
Total energy in eV/atom: -3.81
E above lowest polymorph in meV per atom: 271
Uncorrected formation energy in eV per atom: 0.022

(5)
The following is a PBE calculation of a relaxed Y2LuGe crystal, from the Alexandria database.

Unit cell a=11.591 b=11.591 c=11.591 alpha=17.23 beta=17.23 gamma=17.23
Atoms (fractional coordinates):
Y  0.084  0.084  0.084
Y  0.916  0.916  0.916
Lu  0.500  0.500  0.500
Ge  0.000  0.000  0.000

Values from the calculation:
Total energy in eV/atom: -5.37
DFT formation energy in meV/atom: 146

(6)
The following is a PBE calculation of a relaxed YTl2Si crystal, from the Alexandria database.

Unit cell a=6.104 b=6.104 c=6.104 alpha=138.73 beta=138.73 gamma=59.78
Atoms (fractional coordinates):
Y  0.000  0.000  0.000
Tl  0.250  0.750  0.500
Tl  0.750  0.250  0.500
Si  0.500  0.500  0.000

Values from the calculation:
Total energy in eV/atom: -4.25
E above lowest polymorph in meV per atom: 23
Uncorrected formation energy in eV per atom: -0.100